First-principles (PBE) data for a relaxed structure of K2TlPt, as listed in Alexandria.

The structure in CIF format:
```
data_K2TlPt
_chemical_formula_sum 'K4 Tl2 Pt2'
_symmetry_space_group_name_H-M 'I m m 2'
_symmetry_Int_Tables_number 44
_cell_length_a 4.116
_cell_length_b 5.686
_cell_length_c 11.547
_cell_angle_alpha 90.00
_cell_angle_beta 90.00
_cell_angle_gamma 90.00
loop_
_symmetry_equiv_pos_as_xyz
'x,y,z'
'-x,-y,z'
'-x,y,z'
'x,-y,z'
'x+1/2,y+1/2,z+1/2'
'-x+1/2,-y+1/2,z+1/2'
'-x+1/2,y+1/2,z+1/2'
'x+1/2,-y+1/2,z+1/2'
loop_
_atom_site_label
_atom_site_fract_x
_atom_site_fract_y
_atom_site_fract_z
_atom_site_occupancy
K1 0.000 0.000 0.000 1
K2 0.000 0.500 0.193 1
Tl1 0.000 0.000 0.398 1
Pt1 0.000 0.500 0.744 1
```

Summary:
- excess energy over the best structure of this formula in the dataset (meV/atom) = 49
- total magnetic moment (μB per atom) = 0.000
- ΔE_f (eV/atom) = -0.089